{"formula": "ZnRh2Pb", "functional": "PBE", "state": "relaxed", "lattice": [[-1.651, 2.115, 4.825], [1.651, -2.115, 4.825], [1.651, 2.115, -4.825]], "species": ["Zn", "Rh", "Rh", "Pb"], "fractional_positions": [[0.000, 0.000, 0.000], [0.208, 0.708, 0.500], [0.476, 0.476, 0.000], [0.746, 0.246, 0.500]], "m_tot_mub_per_atom": 0.000, "energy_ev_per_atom": -4.913, "delta_e_f_ev_per_atom": 0.009, "vol_a3_per_cell": 67.38, "space_group": "No. 44"}

***

{"formula": "TaCd2Cl", "functional": "PBE", "state": "relaxed", "lattice": [[-1.979, 1.979, 5.129], [1.979, -1.979, 5.129], [1.979, 1.979, -5.129]], "species": ["Ta", "Cd", "Cd", "Cl"], "fractional_positions": [[0.000, 0.000, 0.000], [0.250, 0.750, 0.500], [0.750, 0.250, 0.500], [0.500, 0.500, 0.000]], "m_tot_mub_per_atom": 0.242, "energy_ev_per_atom": -3.256, "e_form_raw_ev_per_fu": 2.51, "vol_a3_per_cell": 80.34, "space_group": "No. 139"}

***

{"formula": "SrMg4Pt2", "functional": "PBE", "state": "relaxed", "lattice": [[8.265, 0.000, 0.000], [0.000, 8.265, 0.000], [0.000, 0.000, 4.442]], "species": ["Sr", "Sr", "Mg", "Mg", "Mg", "Mg", "Mg", "Mg", "Mg", "Mg", "Pt", "Pt", "Pt", "Pt"], "fractional_positions": [[0.000, 0.000, 0.000], [0.500, 0.500, 0.500], [0.089, 0.337, 0.500], [0.163, 0.589, 0.000], [0.337, 0.089, 0.500], [0.411, 0.837, 0.000], [0.589, 0.163, 0.000], [0.663, 0.911, 0.500], [0.837, 0.411, 0.000], [0.911, 0.663, 0.500], [0.227, 0.773, 0.500], [0.273, 0.273, 0.000], [0.727, 0.727, 0.000], [0.773, 0.227, 0.500]], "m_tot_mub_per_atom": 0.000, "energy_ev_per_atom": -3.540, "delta_e_f_ev_per_atom": -0.663, "vol_a3_per_cell": 303.47, "space_group": "No. 136"}

***

{"formula": "ScPtIN2", "functional": "PBE", "state": "relaxed", "lattice": [[3.897, 0.000, 0.000], [0.000, 3.897, 0.000], [0.000, 0.000, 6.832]], "species": ["Sc", "Pt", "I", "N", "N"], "fractional_positions": [[0.000, 0.000, 0.000], [0.500, 0.500, 0.500], [0.500, 0.500, 0.000], [0.000, 0.500, 0.500], [0.500, 0.000, 0.500]], "m_tot_mub_per_atom": 0.000, "energy_ev_per_atom": -5.147, "e_form_raw_ev_per_fu": 4.84, "vol_a3_per_cell": 103.75, "space_group": "No. 123"}

***

{"formula": "K2Cd4Pb5", "functional": "PBE", "state": "relaxed", "lattice": [[7.162, -3.410, 0.000], [7.162, 3.410, 0.000], [-6.776, 0.000, 7.164]], "species": ["K", "K", "Cd", "Cd", "Cd", "Cd", "Pb", "Pb", "Pb", "Pb", "Pb"], "fractional_positions": [[0.191, 0.191, 0.192], [0.809, 0.809, 0.808], [0.247, 0.247, 0.589], [0.247, 0.247, 0.907], [0.753, 0.753, 0.093], [0.753, 0.753, 0.411], [0.261, 0.738, 0.321], [0.262, 0.739, 0.679], [0.500, 0.500, 0.000], [0.738, 0.261, 0.321], [0.739, 0.262, 0.679]], "m_tot_mub_per_atom": 0.000, "energy_ev_per_atom": -2.263, "delta_e_f_ev_per_atom": -0.045, "vol_a3_per_cell": 349.95, "space_group": "No. 12"}

***

{"formula": "RbInTc2H", "functional": "PBE", "state": "relaxed", "lattice": [[5.612, 0.000, 0.000], [0.000, 5.612, 0.000], [0.000, 0.000, 3.879]], "species": ["Rb", "In", "Tc", "Tc", "H"], "fractional_positions": [[0.000, 0.000, 0.000], [0.500, 0.500, 0.500], [0.000, 0.500, 0.500], [0.500, 0.000, 0.500], [0.500, 0.500, 0.000]], "m_tot_mub_per_atom": 1.348, "energy_ev_per_atom": -3.766, "vol_a3_per_cell": 122.15, "space_group": "No. 123"}